# 1
Below is a PBEsol-optimized structure of Li2CdTe, with properties calculated at the meta-GGA SCAN level.

Geometry as POSCAR:
```
Li2CdTe
1.0
-4.013 -2.792 0.565
-1.290 -1.578 4.480
-3.996 1.851 2.205
Li Te Cd
2 1 1
direct
0.250 0.250 0.249
0.750 0.750 0.751
0.500 0.500 0.500
0.000 0.000 0.000
```

Summary:
Formation energy (no corrections) (eV/atom): -0.534
Excess energy over the best structure of this formula in the dataset (eV/atom): 0.030


# 2
Below is a PBEsol-optimized structure of LiCdTe2, with properties calculated at the meta-GGA SCAN level.

Geometry as POSCAR:
```
LiCdTe2
1.0
4.854 0.000 0.000
-2.427 4.839 -0.011
0.000 2.443 4.194
Te Cd Li
2 1 1
direct
0.750 0.500 0.750
0.250 0.500 0.250
0.500 0.000 0.500
0.000 0.000 0.000
```

Summary:
Formation energy (no corrections) (eV/atom): -0.219


# 3
Below is a PBEsol-optimized structure of Li2CdTe, with properties calculated at the meta-GGA SCAN level.

Geometry as POSCAR:
```
Li2CdTe
1.0
-1.687 -3.475 -0.662
3.539 -2.080 1.896
-2.033 0.219 4.033
Li Te Cd
2 1 1
direct
0.500 0.500 0.000
0.500 0.000 0.500
0.000 0.000 0.000
0.000 0.500 0.500
```

Summary:
Formation energy (no corrections) (eV/atom): -0.563
Excess energy over the best structure of this formula in the dataset (eV/atom): 0.000


# 4
Below is a PBEsol-optimized structure of LiCdTe2, with properties calculated at the meta-GGA SCAN level.

Geometry as POSCAR:
```
LiCdTe2
1.0
-0.203 -2.336 -2.075
0.238 -2.084 2.324
-10.138 -0.024 1.017
Cd Te Li
1 2 1
direct
0.000 0.000 0.531
0.000 0.000 0.939
0.500 0.500 0.285
0.500 0.500 0.745
```

Summary:
Formation energy (no corrections) (eV/atom): -0.229


# 5
Below is a PBEsol-optimized structure of LiTiCd2, with properties calculated at the meta-GGA SCAN level.

Geometry as POSCAR:
```
LiTiCd2
1.0
-2.486 3.717 -1.217
-3.526 -0.443 -2.974
-4.363 0.460 1.493
Li Ti Cd
1 1 2
direct
0.000 0.000 0.000
0.500 0.500 0.500
0.750 0.750 0.750
0.250 0.250 0.250
```

Summary:
ΔH_f (0 K) (eV/atom): -0.081


# 6
Below is a PBEsol-optimized structure of LiTlCd2, with properties calculated at the meta-GGA SCAN level.

Geometry as POSCAR:
```
LiTlCd2
1.0
4.924 0.000 0.000
2.462 4.264 0.000
2.462 1.421 4.020
Li Tl Cd
1 1 2
direct
0.500 0.500 0.500
0.750 0.750 0.750
0.000 0.000 0.000
0.250 0.250 0.250
```

Summary:
ΔH_f (0 K) (eV/atom): -0.126


# 7
Below is a PBEsol-optimized structure of LiTlCd2, with properties calculated at the meta-GGA SCAN level.

Geometry as POSCAR:
```
LiTlCd2
1.0
-1.414 -2.850 0.173
3.109 -1.770 -3.742
3.418 -1.617 3.605
Cd Tl Li
2 1 1
direct
0.760 0.000 0.765
0.240 0.000 0.235
0.000 0.500 0.500
0.500 0.500 0.000
```

Summary:
ΔH_f (0 K) (eV/atom): -0.118


# 8
Below is a PBEsol-optimized structure of Li2TlCd, with properties calculated at the meta-GGA SCAN level.

Geometry as POSCAR:
```
Li2TlCd
1.0
3.439 0.000 0.000
0.000 3.439 0.000
0.000 0.000 6.283
Tl Cd Li
1 1 2
direct
0.500 0.500 0.500
0.500 0.500 0.000
0.000 0.000 0.752
0.000 0.000 0.248
```

Summary:
ΔH_f (0 K) (eV/atom): -0.298


# 9
Below is a PBEsol-optimized structure of LiTlCd, with properties calculated at the meta-GGA SCAN level.

Geometry as POSCAR:
```
LiTlCd
1.0
-0.190 -3.198 -0.114
3.807 -0.116 -3.107
0.777 -0.219 4.849
Cd Tl Li
1 1 1
direct
0.149 0.000 0.000
0.185 0.667 0.333
0.665 0.333 0.667
```

Summary:
ΔH_f (0 K) (eV/atom): -0.181
Excess energy over the best structure of this formula in the dataset (eV/atom): 0.000


# 10
Below is a PBEsol-optimized structure of Li2TlCd, with properties calculated at the meta-GGA SCAN level.

Geometry as POSCAR:
```
Li2TlCd
1.0
4.706 0.000 0.000
2.353 4.076 0.000
2.353 1.359 3.842
Tl Li Cd
1 2 1
direct
0.000 0.000 0.000
0.750 0.750 0.750
0.250 0.250 0.250
0.500 0.500 0.500
```

Summary:
ΔH_f (0 K) (eV/atom): -0.317


# 11
Below is a PBEsol-optimized structure of LiTlCd2, with properties calculated at the meta-GGA SCAN level.

Geometry as POSCAR:
```
LiTlCd2
1.0
-2.276 1.045 -1.978
-0.958 -4.886 1.096
-2.610 2.553 4.351
Tl Li Cd
1 1 2
direct
0.754 0.509 0.269
0.503 0.006 0.504
0.997 0.994 0.978
0.246 0.491 0.749
```

Summary:
ΔH_f (0 K) (eV/atom): -0.107


# 12
Below is a PBEsol-optimized structure of LiTlCd2, with properties calculated at the meta-GGA SCAN level.

Geometry as POSCAR:
```
LiTlCd2
1.0
-0.944 1.900 -2.418
-3.107 0.769 -0.322
0.011 8.762 4.739
Li Tl Cd
1 1 2
direct
0.500 0.500 0.500
0.000 0.000 0.000
0.242 0.242 0.273
0.758 0.758 0.727
```

Summary:
ΔH_f (0 K) (eV/atom): -0.057


The V results, record by record, are as follows: 21.1; 24.7; 20.0; 25.0; 17.6; 21.1; 21.5; 18.6; 22.4; 18.4; 21.5; 21.9 Å³ per atom.